[1]
# NdScS2 PBE relaxed
# **E_form (uncorrected)**: -1850 meV/atom
# **DOS at the Fermi energy**: 0.72 states/eV/atom
# **E**: -26.8 eV per cell
# **Relative energy among the computed polymorphs**: 0.079 eV per atom
# **Magnetization**: 0.000 μB per atom
data_NdScS2
_chemical_formula_sum 'Nd1 Sc1 S2'
_cell_length_a 3.7240
_cell_length_b 3.7240
_cell_length_c 7.0159
_cell_angle_alpha 90.00
_cell_angle_beta 90.00
_cell_angle_gamma 120.00
_symmetry_space_group_name_H-M 'P -3 m 1'
_symmetry_Int_Tables_number 164
_symmetry_space_group_name_Hall '-P 3 2"'
loop_
_atom_site_label
_atom_site_fract_x
_atom_site_fract_y
_atom_site_fract_z
Nd1 0.0000 0.0000 0.0000
Sc1 0.0000 0.0000 0.5000
S1 0.3333 0.6667 0.7185

***

[2]
# NdScS3 PBE relaxed
# **E_form (uncorrected)**: -2006 meV/atom
# **DOS at the Fermi energy**: 0.00 states/eV/atom
# **E**: -134.0 eV per cell
# **Magnetization**: 0.000 μB per atom
data_NdScS3
_chemical_formula_sum 'Nd4 Sc4 S12'
_cell_length_a 7.1685
_cell_length_b 9.5985
_cell_length_c 6.5077
_cell_angle_alpha 90.00
_cell_angle_beta 90.00
_cell_angle_gamma 90.00
_symmetry_space_group_name_H-M 'P n m a'
_symmetry_Int_Tables_number 62
loop_
_symmetry_equiv_pos_as_xyz
'x,y,z'
'-x,-y,-z'
'-x+1/2,-y,z+1/2'
'x+1/2,y,-z+1/2'
'x+1/2,-y+1/2,-z+1/2'
'-x+1/2,y+1/2,z+1/2'
'-x,y+1/2,-z'
'x,-y+1/2,z'
loop_
_atom_site_label
_atom_site_fract_x
_atom_site_fract_y
_atom_site_fract_z
Nd1 0.0982 0.2500 0.0374
Sc1 0.0000 0.0000 0.5000
S1 0.0372 0.7500 0.3710
S2 0.1871 0.5630 0.8213

***

[3]
# Nd2ScS3 PBE relaxed
# **E_form (uncorrected)**: -1780 meV/atom
# **DOS at the Fermi energy**: 0.53 states/eV/atom
# **E**: -77.9 eV per cell
# **Relative energy among the computed polymorphs**: 0.169 eV per atom
# **Magnetization**: 0.000 μB per atom
data_Nd2ScS3
_chemical_formula_sum 'Nd4 Sc2 S6'
_cell_length_a 3.8022
_cell_length_b 4.7380
_cell_length_c 15.2611
_cell_angle_alpha 90.00
_cell_angle_beta 90.00
_cell_angle_gamma 90.00
_symmetry_space_group_name_H-M 'I m m m'
_symmetry_Int_Tables_number 71
_symmetry_space_group_name_Hall '-I 2 2'
loop_
_atom_site_label
_atom_site_fract_x
_atom_site_fract_y
_atom_site_fract_z
Nd1 0.0000 0.0000 0.1449
Sc1 0.0000 0.0000 0.5000
S1 0.0000 0.0000 0.3314
S2 0.0000 0.5000 0.5000

***

- Look up the E_form (uncorrected) of the third one.
  -1780 meV/atom